Entry 1:
A relaxed structure of La2Ge3BiPd4. Source: Alexandria, functional PBE.

Properties
Energy of formation from the pure elements: -778 meV per atom
SG: P-4m2 (115)
E: -5.61 eV/atom
V: 212.1 Å³/cell

a = 4.4511 Å, b = 4.4511 Å, c = 10.7049 Å
α = 90.00°, β = 90.00°, γ = 90.00°
Last column: nearest neighbours and their distance in Å.
Sites, in units of the cell vectors:
1 La 0.0000 0.5000 0.7674  8 Pd 3.34-3.39, 6 Ge 3.37-3.63, 2 Bi 3.63
2 Pd 0.5000 0.0000 0.6509  3 Ge 2.46-2.75, 2 Bi 2.75
3 La 0.5000 0.0000 0.2326  8 Pd 3.34-3.39, 6 Ge 3.37-3.63, 2 Bi 3.63
4 Pd 0.5000 0.5000 0.0000  4 Ge 2.56
5 Ge 0.5000 0.0000 0.8811  5 Pd 2.46-2.56
6 Bi 0.5000 0.5000 0.5000  4 Pd 2.75
7 Pd 0.0000 0.5000 0.3491  3 Ge 2.46-2.75, 2 Bi 2.75
8 Pd 0.0000 0.0000 0.0000  4 Ge 2.56
9 Ge 0.0000 0.5000 0.1189  5 Pd 2.46-2.56
10 Ge 0.0000 0.0000 0.5000  4 Pd 2.75

Entry 2:
A relaxed structure of La2Ge3BiRh4. Source: Alexandria, functional PBE.

Properties
Energy of formation from the pure elements: -783 meV per atom
SG: P-4m2 (115)
E: -6.48 eV/atom
V: 201.1 Å³/cell

a = 4.3387 Å, b = 4.3387 Å, c = 10.6849 Å
α = 90.00°, β = 90.00°, γ = 90.00°
Last column: nearest neighbours and their distance in Å.
Sites, in units of the cell vectors:
1 Ge 0.0000 0.0000 0.5000  4 Rh 2.70
2 La 0.5000 0.0000 0.2427  8 Rh 3.27-3.38, 6 Ge 3.33-3.50, 2 Bi 3.50
3 Ge 0.5000 0.0000 0.8794  5 Rh 2.45-2.52
4 Rh 0.5000 0.0000 0.6500  3 Ge 2.45-2.70, 2 Bi 2.70
5 Ge 0.0000 0.5000 0.1206  5 Rh 2.45-2.52
6 Rh 0.0000 0.5000 0.3500  3 Ge 2.45-2.70, 2 Bi 2.70
7 Bi 0.5000 0.5000 0.5000  4 Rh 2.70
8 Rh 0.5000 0.5000 0.0000  4 Ge 2.52
9 La 0.0000 0.5000 0.7573  8 Rh 3.27-3.38, 6 Ge 3.33-3.50, 2 Bi 3.50
10 Rh 0.0000 0.0000 0.0000  4 Ge 2.52

Entry 3:
A relaxed structure of La2Sc2GeBi2. Source: Alexandria, functional PBE.

Properties
Energy of formation from the pure elements: -730 meV per atom
SG: I4/mmm (139)
E: -5.72 eV/atom
V: 212.9 Å³/cell

a = 5.0061 Å, b = 5.0061 Å, c = 9.2031 Å
α = 105.78°, β = 105.78°, γ = 90.00°
Last column: nearest neighbours and their distance in Å.
Sites, in units of the cell vectors:
1 Bi 0.6284 0.6284 0.2568  4 Sc 3.32, 5 La 3.40-3.62
2 Bi 0.3716 0.3716 0.7432  4 Sc 3.32, 5 La 3.40-3.62
3 La 0.1716 0.1716 0.3432  1 Ge 2.92
4 Sc 0.5000 0.0000 0.0000  2 Ge 2.50
5 Ge 0.0000 0.0000 0.0000  4 Sc 2.50
6 La 0.8284 0.8284 0.6568  1 Ge 2.92
7 Sc 0.0000 0.5000 0.0000  2 Ge 2.50

Entry 4:
A relaxed structure of La4GeBi2Se. Source: Alexandria, functional PBE.

Properties
SG: P2/m (10)
E: -5.68 eV/atom
Formation energy (no corrections): -1.235 eV/atom
V: 265.8 Å³/cell

a = 4.5381 Å, b = 7.9135 Å, c = 7.8399 Å
α = 70.72°, β = 90.00°, γ = 90.00°
Last column: nearest neighbours and their distance in Å.
Sites, in units of the cell vectors:
1 Bi 0.5000 0.0000 0.5000  6 La 3.27
2 Bi 0.0000 0.0000 0.0000  6 La 3.31-3.32
3 La 0.0000 0.2662 0.2512  1 Ge 3.10, 2 Se 3.17, 3 Bi 3.27-3.32
4 Ge 0.0000 0.5000 0.5000  6 La 3.10-3.13
5 La 0.0000 0.7338 0.7488  1 Ge 3.10, 2 Se 3.17, 3 Bi 3.27-3.32
6 Se 0.5000 0.5000 0.0000  6 La 3.16-3.17
7 La 0.5000 0.7315 0.2599  2 Ge 3.13, 1 Se 3.16, 3 Bi 3.27-3.31
8 La 0.5000 0.2685 0.7401  2 Ge 3.13, 1 Se 3.16, 3 Bi 3.27-3.31

Entry 5:
A relaxed structure of La6GeBi2Te3. Source: Alexandria, functional PBE.

Properties
SG: C2/m (12)
E: -5.61 eV/atom
Formation energy (no corrections): -1.331 eV/atom
V: 415.9 Å³/cell

a = 4.6008 Å, b = 9.2402 Å, c = 10.3017 Å
α = 102.68°, β = 102.90°, γ = 90.00°
Last column: nearest neighbours and their distance in Å.
Sites, in units of the cell vectors:
1 La 0.9991 0.2282 0.9981  2 Ge 3.12, 1 Bi 3.28, 3 Te 3.31-3.40
2 La 0.0009 0.7718 0.0019  2 Ge 3.12, 1 Bi 3.28, 3 Te 3.31-3.40
3 La 0.3428 0.9211 0.6857  1 Ge 3.08, 2 Bi 3.27, 3 Te 3.27-3.38
4 Te 0.8301 0.1649 0.6602  6 La 3.26-3.38
5 Te 0.5000 0.5000 0.0000  6 La 3.25-3.40
6 Bi 0.8335 0.6658 0.6669  6 La 3.25-3.28
7 La 0.3341 0.4169 0.6681  3 Te 3.25-3.26, 3 Bi 3.25-3.28
8 Ge 0.5000 0.0000 0.0000  6 La 3.08-3.12
9 La 0.6659 0.5831 0.3319  3 Te 3.25-3.26, 3 Bi 3.25-3.28
10 Te 0.1699 0.8351 0.3398  6 La 3.26-3.38
11 Bi 0.1665 0.3342 0.3331  6 La 3.25-3.28
12 La 0.6572 0.0789 0.3143  1 Ge 3.08, 2 Bi 3.27, 3 Te 3.27-3.38

Entry 6:
A relaxed structure of La8GeBi4Te3. Source: Alexandria, functional PBE.

Properties
SG: R-3m (166)
E: -5.57 eV/atom
Formation energy (no corrections): -1.261 eV/atom
V: 561.6 Å³/cell

a = 9.2686 Å, b = 9.2535 Å, c = 9.2686 Å
α = 120.06°, β = 120.00°, γ = 90.00°
Last column: nearest neighbours and their distance in Å.
Sites, in units of the cell vectors:
1 La 0.7598 0.7420 0.0009  1 Ge 3.16, 3 Bi 3.27-3.39, 2 Te 3.28
2 La 0.7589 0.2580 0.9991  1 Ge 3.16, 3 Bi 3.27-3.39, 2 Te 3.28
3 La 0.2411 0.7420 0.0009  1 Ge 3.16, 3 Bi 3.27-3.39, 2 Te 3.28
4 Ge 0.0000 0.5000 0.0000  6 La 3.16
5 Bi 0.5000 0.0000 0.5000  6 La 3.26-3.27
6 La 0.2402 0.2580 0.9991  1 Ge 3.16, 3 Bi 3.27-3.39, 2 Te 3.28
7 La 0.2412 0.7421 0.4824  1 Ge 3.16, 3 Bi 3.27-3.39, 2 Te 3.28
8 Te 0.5000 0.5000 0.5000  6 La 3.28-3.29
9 Bi 0.0000 0.0000 0.0000  6 La 3.26-3.27
10 La 0.2491 0.2473 0.4982  3 Bi 3.26, 3 Te 3.29
11 La 0.7509 0.7527 0.5018  3 Bi 3.26, 3 Te 3.29
12 La 0.7588 0.2579 0.5176  1 Ge 3.16, 3 Bi 3.27-3.39, 2 Te 3.28
13 Bi 0.5000 0.0000 0.0000  6 La 3.39
14 Bi 0.0000 0.0000 0.5000  6 La 3.26-3.27
15 Te 0.0000 0.5000 0.5000  6 La 3.28-3.29
16 Te 0.5000 0.5000 0.0000  6 La 3.28-3.29

Entry 7:
A relaxed structure of La4GeBiTe2. Source: Alexandria, functional PBE.

Properties
SG: P2/m (10)
E: -5.63 eV/atom
Formation energy (no corrections): -1.322 eV/atom
V: 273.5 Å³/cell

a = 4.5755 Å, b = 7.9428 Å, c = 7.9734 Å
α = 70.68°, β = 90.00°, γ = 90.00°
Last column: nearest neighbours and their distance in Å.
Sites, in units of the cell vectors:
1 La 0.0000 0.2616 0.2596  1 Ge 3.11, 2 Bi 3.24, 3 Te 3.25-3.38
2 Te 0.5000 0.0000 0.5000  6 La 3.25-3.26
3 Te 0.0000 0.0000 0.0000  6 La 3.37-3.38
4 La 0.5000 0.7313 0.2678  2 Ge 3.13, 1 Bi 3.24, 3 Te 3.26-3.37
5 La 0.5000 0.2687 0.7322  2 Ge 3.13, 1 Bi 3.24, 3 Te 3.26-3.37
6 La 0.0000 0.7384 0.7404  1 Ge 3.11, 2 Bi 3.24, 3 Te 3.25-3.38
7 Ge 0.0000 0.5000 0.5000  6 La 3.11-3.13
8 Bi 0.5000 0.5000 0.0000  6 La 3.24

Entry 8:
A relaxed structure of LaZrGeBi2. Source: Alexandria, functional PBE.

Properties
Energy of formation from the pure elements: 397 meV per atom
SG: P4/mmm (123)
E: -4.77 eV/atom
V: 176.2 Å³/cell

a = 5.6124 Å, b = 5.5947 Å, c = 5.6124 Å
α = 90.00°, β = 90.00°, γ = 90.00°
Last column: nearest neighbours and their distance in Å.
Sites, in units of the cell vectors:
1 Bi 0.0000 0.0000 0.5000  2 Zr 2.81
2 Zr 0.0000 0.0000 0.0000  2 La 2.80, 4 Bi 2.81
3 La 0.0000 0.5000 0.0000  2 Zr 2.80
4 Bi 0.5000 0.0000 0.0000  2 Zr 2.81
5 Ge 0.5000 0.5000 0.5000  8 Bi 3.96, 4 La 3.97

Entry 9:
A relaxed structure of LiGeBi. Source: Alexandria, functional PBE.

Properties
Energy of formation from the pure elements: -86 meV per atom
SG: Cmmm (65)
E: -3.56 eV/atom
V: 139.1 Å³/cell

a = 3.2150 Å, b = 3.2299 Å, c = 13.4895 Å
α = 96.88°, β = 90.00°, γ = 90.00°
Last column: nearest neighbours and their distance in Å.
Sites, in units of the cell vectors:
1 Li 0.0000 0.6469 0.2938  4 Ge 2.85
2 Ge 0.5000 0.7892 0.5784  2 Ge 2.65, 4 Li 2.85
3 Bi 0.5000 0.0615 0.1230  5 Bi 3.21-3.29, 4 Li 3.23
4 Ge 0.5000 0.2108 0.4216  2 Ge 2.65, 4 Li 2.85
5 Li 0.0000 0.3531 0.7062  4 Ge 2.85
6 Bi 0.5000 0.9385 0.8770  5 Bi 3.21-3.29, 4 Li 3.23

Entry 10:
A relaxed structure of LiGeBi3. Source: Alexandria, functional PBE.

Properties
Energy of formation from the pure elements: 393 meV per atom
SG: Pm-3m (221)
E: -3.24 eV/atom
V: 138.3 Å³/cell

a = 5.1717 Å, b = 5.1717 Å, c = 5.1717 Å
α = 90.00°, β = 90.00°, γ = 90.00°
Last column: nearest neighbours and their distance in Å.
Sites, in units of the cell vectors:
1 Li 0.0000 0.0000 0.0000  6 Bi 2.59
2 Bi 0.0000 0.5000 0.0000  2 Li 2.59
3 Bi 0.0000 0.0000 0.5000  2 Li 2.59
4 Ge 0.5000 0.5000 0.5000  12 Bi 3.66
5 Bi 0.5000 0.0000 0.0000  2 Li 2.59

Entry 11:
A relaxed structure of LiGeBi3. Source: Alexandria, functional PBE.

Properties
Energy of formation from the pure elements: 436 meV per atom
SG: Pm-3m (221)
E: -3.20 eV/atom
V: 175.7 Å³/cell

a = 5.6007 Å, b = 5.6007 Å, c = 5.6007 Å
α = 90.00°, β = 90.00°, γ = 90.00°
Last column: nearest neighbours and their distance in Å.
Sites, in units of the cell vectors:
1 Bi 0.0000 0.5000 0.0000  2 Ge 2.80
2 Bi 0.5000 0.0000 0.0000  2 Ge 2.80
3 Ge 0.0000 0.0000 0.0000  6 Bi 2.80
4 Li 0.5000 0.5000 0.5000  12 Bi 3.96
5 Bi 0.0000 0.0000 0.5000  2 Ge 2.80

Entry 12:
A relaxed structure of Li2Ge2Bi. Source: Alexandria, functional PBE.

Properties
Energy of formation from the pure elements: -42 meV per atom
SG: P4/mbm (127)
E: -3.43 eV/atom
V: 200.3 Å³/cell

a = 7.9691 Å, b = 7.9691 Å, c = 3.1542 Å
α = 90.00°, β = 90.00°, γ = 90.00°
Last column: nearest neighbours and their distance in Å.
Sites, in units of the cell vectors:
1 Bi 0.0000 0.0000 0.0000  2 Bi 3.15, 4 Li 3.18, 8 Ge 3.33
2 Li 0.1191 0.3809 0.0000  1 Li 2.68, 6 Ge 2.78-2.88
3 Ge 0.1778 0.6778 0.5000  6 Li 2.78-2.88
4 Li 0.3809 0.8809 0.0000  1 Li 2.68, 6 Ge 2.78-2.88
5 Ge 0.3222 0.1778 0.5000  6 Li 2.78-2.88
6 Ge 0.6778 0.8222 0.5000  6 Li 2.78-2.88
7 Bi 0.5000 0.5000 0.0000  2 Bi 3.15, 4 Li 3.18, 8 Ge 3.33
8 Ge 0.8222 0.3222 0.5000  6 Li 2.78-2.88
9 Li 0.8809 0.6191 0.0000  1 Li 2.68, 6 Ge 2.78-2.88
10 Li 0.6191 0.1191 0.0000  1 Li 2.68, 6 Ge 2.78-2.88

Q: What is the E in the fourth record?
A: -5.68 eV/atom

Copy entry 3 word for word.
A relaxed structure of La2Sc2GeBi2. Source: Alexandria, functional PBE.

Properties
Energy of formation from the pure elements: -730 meV per atom
SG: I4/mmm (139)
E: -5.72 eV/atom
V: 212.9 Å³/cell

a = 5.0061 Å, b = 5.0061 Å, c = 9.2031 Å
α = 105.78°, β = 105.78°, γ = 90.00°
Last column: nearest neighbours and their distance in Å.
Sites, in units of the cell vectors:
1 Bi 0.6284 0.6284 0.2568  4 Sc 3.32, 5 La 3.40-3.62
2 Bi 0.3716 0.3716 0.7432  4 Sc 3.32, 5 La 3.40-3.62
3 La 0.1716 0.1716 0.3432  1 Ge 2.92
4 Sc 0.5000 0.0000 0.0000  2 Ge 2.50
5 Ge 0.0000 0.0000 0.0000  4 Sc 2.50
6 La 0.8284 0.8284 0.6568  1 Ge 2.92
7 Sc 0.0000 0.5000 0.0000  2 Ge 2.50

Q: Which of these has the highest E?
A: number 11

Q: The highest E belongs to which entry?
A: number 11